#one
First-principles (GGA-PBE) data for CsAsI3 after structural relaxation, as listed in Alexandria.

- DOS(E_F): 0.000 states/eV/atom
- Spin magnetization: 0.00 Bohr magnetons per cell

Cell lengths 10.303, 6.289, 10.811 Å; angles 118.76, 121.14, 71.79 degrees
Positions (direct):
As 0.609 0.682 0.458
I 0.480 0.008 0.331
I 0.854 0.540 0.340
I 0.991 0.540 0.764
Cs 0.055 0.820 0.208
Cs 0.423 0.569 0.896
I 0.288 0.253 0.032
I 0.433 0.823 0.612
I 0.807 0.204 0.919
As 0.853 0.891 0.659

---

#two
First-principles (GGA-PBE) data for CsAsI3 after structural relaxation, as listed in Alexandria.

- DOS(E_F): 0.300 states/eV/atom
- Spin magnetization: 0.00 Bohr magnetons per cell

Cell lengths 23.960, 7.050, 7.050 Å; angles 123.63, 136.85, 43.15 degrees
Positions (direct):
I 0.141 0.935 0.065
As 0.597 0.064 0.936
I 0.301 0.921 0.079
Cs 0.856 0.390 0.610
I 0.699 0.079 0.921
As 0.403 0.936 0.064
Cs 0.144 0.610 0.390
I 0.585 0.577 0.423
I 0.859 0.065 0.935
I 0.415 0.423 0.577

---

Stability ranking, top entry: #one; the second entry is 146 meV/atom less favorable.

---

#one
First-principles (GGA-PBE) data for CsAsI3 after structural relaxation, as listed in Alexandria.

- DOS(E_F): 0.420 states/eV/atom
- Spin magnetization: 0.00 Bohr magnetons per cell

Cell lengths 11.217, 11.217, 11.217 Å; angles 60.00, 60.00, 60.00 degrees
Positions (direct):
I 0.063 0.063 0.437
Cs 0.625 0.125 0.625
I 0.063 0.437 0.063
I 0.187 0.813 0.187
Cs 0.625 0.625 0.625
As 0.125 0.125 0.625
I 0.437 0.063 0.437
As 0.125 0.625 0.125
I 0.187 0.813 0.813
I 0.437 0.063 0.063
I 0.187 0.187 0.813
As 0.625 0.125 0.125
As 0.125 0.125 0.125
I 0.063 0.437 0.437
Cs 0.125 0.625 0.625
Cs 0.625 0.625 0.125
I 0.813 0.187 0.187
I 0.813 0.187 0.813
I 0.437 0.437 0.063
I 0.813 0.813 0.187

---

#two
First-principles (GGA-PBE) data for CsAsI3 after structural relaxation, as listed in Alexandria.

- DOS(E_F): 0.003 states/eV/atom
- Spin magnetization: 0.00 Bohr magnetons per cell

Cell lengths 15.970, 10.617, 10.617 Å; angles 86.83, 125.33, 54.67 degrees
Positions (direct):
I 0.631 0.566 0.613
I 0.405 0.144 0.145
I 0.595 0.856 0.855
I 0.156 0.141 0.209
I 0.844 0.859 0.791
I 0.656 0.291 0.359
I 0.869 0.113 0.066
Cs 0.539 0.220 0.965
I 0.131 0.887 0.934
I 0.344 0.709 0.641
I 0.369 0.434 0.387
Cs 0.461 0.780 0.035
Cs 0.961 0.465 0.720
I 0.905 0.355 0.356
Cs 0.039 0.535 0.280
As 0.750 0.188 0.688
As 0.250 0.529 0.029
I 0.095 0.645 0.644
As 0.250 0.812 0.312
As 0.750 0.471 0.971

---

#three
First-principles (GGA-PBE) data for CsAsI3 after structural relaxation, as listed in Alexandria.

- DOS(E_F): 0.542 states/eV/atom
- Spin magnetization: 0.00 Bohr magnetons per cell

Cell lengths 5.435, 5.435, 9.395 Å; angles 90.00, 90.00, 90.00 degrees
Positions (direct):
I 0.000 0.000 0.152
Cs 0.000 0.000 0.777
I 0.500 0.000 0.480
I 0.000 0.500 0.480
As 0.500 0.500 0.375

---

Stability ranking, top entry: #two; the second entry is 41 meV/atom less favorable.

---

#one
First-principles (GGA-PBE) data for CsAsI3 after structural relaxation, as listed in Alexandria.

- DOS(E_F): 0.301 states/eV/atom
- Spin magnetization: 0.00 Bohr magnetons per cell

Cell lengths 27.876, 8.714, 10.873 Å; angles 90.00, 158.99, 90.00 degrees
Positions (direct):
Cs 0.397 0.750 0.398
Cs 0.103 0.250 0.102
Cs 0.603 0.250 0.602
As 0.863 0.750 0.363
I 0.750 0.500 0.250
I 0.250 0.000 0.750
I 0.988 0.250 0.488
As 0.363 0.750 0.863
Cs 0.897 0.750 0.898
I 0.488 0.250 0.988
As 0.137 0.250 0.637
I 0.612 0.750 0.612
I 0.112 0.750 0.112
I 0.750 0.000 0.250
I 0.888 0.250 0.888
I 0.250 0.500 0.750
I 0.512 0.750 0.012
I 0.388 0.250 0.388
I 0.012 0.750 0.512
As 0.637 0.250 0.137

---

#two
First-principles (GGA-PBE) data for CsAsI3 after structural relaxation, as listed in Alexandria.

- DOS(E_F): 0.016 states/eV/atom
- Spin magnetization: 1.00 Bohr magnetons per cell

Cell lengths 7.338, 7.338, 7.338 Å; angles 108.08, 108.08, 108.08 degrees
Positions (direct):
As 0.323 0.323 0.323
I 0.109 0.493 0.109
I 0.109 0.109 0.493
Cs 0.841 0.841 0.841
I 0.493 0.109 0.109

---

#three
First-principles (GGA-PBE) data for CsAsI3 after structural relaxation, as listed in Alexandria.

- DOS(E_F): 0.096 states/eV/atom
- Spin magnetization: 2.00 Bohr magnetons per cell

Cell lengths 32.508, 10.211, 10.211 Å; angles 155.62, 157.20, 22.80 degrees
Positions (direct):
I 0.714 0.442 0.558
I 0.987 0.411 0.589
Cs 0.413 0.999 0.001
I 0.286 0.558 0.442
I 0.687 0.181 0.819
I 0.013 0.589 0.411
I 0.313 0.819 0.181
Cs 0.587 0.001 0.999
As 0.857 0.368 0.632
As 0.143 0.632 0.368

---

Stability ranking, top entry: #one; the second entry is 116 meV/atom less favorable.

---

#one
First-principles (GGA-PBE) data for Cs2As2I after structural relaxation, as listed in Alexandria.

- DOS(E_F): 0.649 states/eV/atom
- Spin magnetization: 0.00 Bohr magnetons per cell

Cell lengths 9.744, 9.744, 4.796 Å; angles 90.00, 90.00, 90.00 degrees
Positions (direct):
As 0.920 0.580 0.000
I 0.000 0.000 0.000
As 0.080 0.420 0.000
Cs 0.293 0.207 0.500
I 0.500 0.500 0.000
Cs 0.207 0.707 0.500
As 0.420 0.920 0.000
Cs 0.707 0.793 0.500
Cs 0.793 0.293 0.500
As 0.580 0.080 0.000

---

#two
First-principles (GGA-PBE) data for Cs2As2I after structural relaxation, as listed in Alexandria.

- DOS(E_F): 0.373 states/eV/atom
- Spin magnetization: 0.00 Bohr magnetons per cell

Cell lengths 4.034, 4.034, 11.796 Å; angles 80.15, 80.15, 90.00 degrees
Positions (direct):
As 0.750 0.250 0.500
Cs 0.610 0.610 0.779
Cs 0.390 0.390 0.221
I 0.000 0.000 0.000
As 0.250 0.750 0.500

---

Stability ranking, top entry: #one; the second entry is 9 meV/atom less favorable.

---

#one
First-principles (GGA-PBE) data for Cs2AsI after structural relaxation, as listed in Alexandria.

- DOS(E_F): 2.005 states/eV/atom
- Spin magnetization: 2.00 Bohr magnetons per cell

Cell lengths 6.488, 6.488, 6.488 Å; angles 60.00, 60.00, 60.00 degrees
Positions (direct):
Cs 0.750 0.750 0.750
As 0.000 0.000 0.000
Cs 0.250 0.250 0.250
I 0.500 0.500 0.500

---

#two
First-principles (GGA-PBE) data for Cs2AsI after structural relaxation, as listed in Alexandria.

- DOS(E_F): 0.121 states/eV/atom
- Spin magnetization: 4.00 Bohr magnetons per cell

Cell lengths 7.862, 7.862, 11.474 Å; angles 69.96, 69.96, 90.00 degrees
Positions (direct):
Cs 0.875 0.862 0.750
As 0.500 0.500 0.000
Cs 0.375 0.388 0.750
Cs 0.612 0.125 0.250
As 0.250 0.750 0.500
I 0.750 0.250 0.500
Cs 0.138 0.625 0.250
I 0.000 0.000 0.000

---

Stability ranking, top entry: #one; the second entry is 62 meV/atom less favorable.

---

#one
First-principles (GGA-PBE) data for Cs3AsI6 after structural relaxation, as listed in Alexandria.

- DOS(E_F): 0.000 states/eV/atom
- Spin magnetization: 0.00 Bohr magnetons per cell

Cell lengths 9.177, 9.177, 9.177 Å; angles 60.00, 60.00, 60.00 degrees
Positions (direct):
I 0.222 0.222 0.778
I 0.222 0.778 0.778
I 0.222 0.778 0.222
Cs 0.750 0.750 0.750
As 0.000 0.000 0.000
I 0.778 0.222 0.222
I 0.778 0.222 0.778
I 0.778 0.778 0.222
Cs 0.500 0.500 0.500
Cs 0.250 0.250 0.250

---

#two
First-principles (GGA-PBE) data for Cs3AsI6 after structural relaxation, as listed in Alexandria.

- DOS(E_F): 0.000 states/eV/atom
- Spin magnetization: 0.00 Bohr magnetons per cell

Cell lengths 8.901, 9.401, 12.716 Å; angles 90.00, 89.83, 90.00 degrees
Positions (direct):
I 0.159 0.259 0.061
I 0.341 0.759 0.439
I 0.607 0.464 0.286
I 0.735 0.169 0.952
I 0.235 0.331 0.452
As 0.000 0.000 0.000
Cs 0.500 0.500 0.000
I 0.765 0.669 0.548
I 0.841 0.741 0.939
Cs 0.000 0.000 0.500
I 0.393 0.536 0.714
I 0.893 0.964 0.214
Cs 0.527 0.925 0.750
Cs 0.473 0.075 0.250
I 0.659 0.241 0.561
I 0.107 0.036 0.786
As 0.500 0.500 0.500
I 0.265 0.831 0.048
Cs 0.027 0.575 0.250
Cs 0.973 0.425 0.750

---

Stability ranking, top entry: #two; the second entry is 35 meV/atom less favorable.

---

#one
First-principles (GGA-PBE) data for CsAsIN2 after structural relaxation, as listed in Alexandria.

- DOS(E_F): 0.535 states/eV/atom
- Spin magnetization: 2.98 Bohr magnetons per cell

Cell lengths 4.725, 4.725, 5.889 Å; angles 90.00, 90.00, 90.00 degrees
Positions (direct):
As 0.000 0.000 0.000
Cs 0.500 0.500 0.500
N 0.500 0.000 0.000
N 0.000 0.500 0.000
I 0.000 0.000 0.500

---

#two
First-principles (GGA-PBE) data for CsAsIN2 after structural relaxation, as listed in Alexandria.

- DOS(E_F): 0.626 states/eV/atom
- Spin magnetization: 3.39 Bohr magnetons per cell

Cell lengths 4.528, 4.528, 7.906 Å; angles 90.00, 90.00, 90.00 degrees
Positions (direct):
N 0.500 0.000 0.000
As 0.500 0.500 0.500
Cs 0.000 0.000 0.000
I 0.000 0.000 0.500
N 0.000 0.500 0.000

---

Stability ranking, top entry: #one; the second entry is 1088 meV/atom less favorable.

---

#one
First-principles (GGA-PBE) data for Cs2RbAsI6 after structural relaxation, as listed in Alexandria.

- DOS(E_F): 0.000 states/eV/atom
- Spin magnetization: 0.00 Bohr magnetons per cell

Cell lengths 8.769, 9.184, 12.620 Å; angles 90.00, 90.12, 90.00 degrees
Positions (direct):
I 0.833 0.767 0.955
I 0.088 0.482 0.779
Cs 0.976 0.072 0.752
Cs 0.524 0.572 0.748
I 0.228 0.172 0.457
I 0.772 0.828 0.543
I 0.167 0.233 0.045
Cs 0.476 0.428 0.252
I 0.588 0.018 0.279
I 0.272 0.672 0.043
I 0.667 0.267 0.545
I 0.333 0.733 0.455
Rb 0.500 0.000 0.000
As 0.500 0.000 0.500
I 0.412 0.982 0.721
I 0.728 0.328 0.957
I 0.912 0.518 0.221
Rb 0.000 0.500 0.500
Cs 0.024 0.928 0.248
As 0.000 0.500 0.000

---

#two
First-principles (GGA-PBE) data for Cs2RbAsI6 after structural relaxation, as listed in Alexandria.

- DOS(E_F): 0.000 states/eV/atom
- Spin magnetization: 0.00 Bohr magnetons per cell

Cell lengths 9.007, 9.007, 9.007 Å; angles 60.00, 60.00, 60.00 degrees
Positions (direct):
I 0.226 0.774 0.774
I 0.226 0.226 0.774
I 0.774 0.226 0.774
Rb 0.500 0.500 0.500
As 0.000 0.000 0.000
Cs 0.750 0.750 0.750
I 0.226 0.774 0.226
Cs 0.250 0.250 0.250
I 0.774 0.226 0.226
I 0.774 0.774 0.226

---

Stability ranking, top entry: #one; the second entry is 24 meV/atom less favorable.